Below is a relaxed structure of Be2CrCu, with properties calculated at the PBE-GGA level.

Results
The value obtained for the formation energy is 86 kJ/mol of formula units. As for the space group: C2/m, No. 12. For the calculated total energy, the calculation gives -5.0698 eV per atom. Its total magnetization is 1.3 μB per formula unit.

abc: 4.016 4.016 4.622
angles: 82.43 82.43 34.06
Each line ends with the local moment (μB).
Positions (direct):
Cr 0.750 0.750 0.750  1.14
Cu 0.250 0.250 0.250  0.04
Be 0.997 0.997 0.001  0.00
Be 0.503 0.503 0.499  0.00